MgBe3 | PBE | relaxed

a b c (Å): 3.5521 3.5521 14.4930
angles (deg): 90.00 90.00 90.00
Closest atoms and distances in Å follow each position.
Space group I4/mmm (No. 139)
Symmetry-distinct sites (fractional):
Mg: 0.0000 0.0000 0.1255  12 Be 2.52-2.54
Be: 0.0000 0.0000 0.3569  4 Be 2.36, 4 Mg 2.52
Be: 0.0000 0.5000 0.0000  8 Be 2.51-2.73, 4 Mg 2.54
Be: 0.0000 0.5000 0.2500  8 Be 2.36-2.51, 4 Mg 2.53

Output
The uncorrected energy is -11.10 eV/f.u. The magnetization is 0.00 μB/cell.